1.
First-principles (PBE) data for a relaxed La3Pm3Cd crystal, as listed in Alexandria via LeMat-Bulk.

Cell and atoms, written as CIF:
```
data_La3Pm3Cd
_chemical_formula_sum 'La6 Pm6 Cd2'
_cell_length_a 5.759
_cell_length_b 9.680
_cell_length_c 9.681
_cell_angle_alpha 120.02
_cell_angle_beta 90.00
_cell_angle_gamma 90.00
_symmetry_space_group_name_H-M 'P 1'
_symmetry_Int_Tables_number 1
loop_
_symmetry_equiv_pos_as_xyz
'x,y,z'
loop_
_atom_site_label
_atom_site_type_symbol
_atom_site_fract_x
_atom_site_fract_y
_atom_site_fract_z
_atom_site_occupancy
La1 La 0.250 0.368 0.890 1
La2 La 0.750 0.478 0.368 1
Cd1 Cd 0.250 0.667 0.333 1
Pm1 Pm 0.250 0.242 0.182 1
Pm2 Pm 0.750 0.060 0.242 1
Pm3 Pm 0.750 0.182 0.940 1
Pm4 Pm 0.250 0.818 0.060 1
La3 La 0.750 0.632 0.110 1
La4 La 0.250 0.110 0.478 1
La5 La 0.250 0.522 0.632 1
La6 La 0.750 0.890 0.522 1
Cd2 Cd 0.750 0.333 0.667 1
Pm5 Pm 0.250 0.940 0.758 1
Pm6 Pm 0.750 0.758 0.818 1
```

Space group ... P6_3/m, No. 176
Offset from the most stable computed form ... 0 meV per atom
N(E_F) ... 17.1 states/eV per cell

=====

2.
First-principles (PBE) data for a relaxed ThAlZnNi2 crystal, as listed in Alexandria via LeMat-Bulk.

Cell and atoms, written as CIF:
```
data_ThAlZnNi2
_chemical_formula_sum 'Th2 Al2 Zn2 Ni4'
_cell_length_a 5.398
_cell_length_b 5.283
_cell_length_c 6.655
_cell_angle_alpha 113.38
_cell_angle_beta 90.00
_cell_angle_gamma 90.00
_symmetry_space_group_name_H-M 'P 1'
_symmetry_Int_Tables_number 1
loop_
_symmetry_equiv_pos_as_xyz
'x,y,z'
loop_
_atom_site_label
_atom_site_type_symbol
_atom_site_fract_x
_atom_site_fract_y
_atom_site_fract_z
_atom_site_occupancy
Th1 Th 0.764 0.250 0.500 1
Th2 Th 0.236 0.750 0.500 1
Ni1 Ni 0.703 0.649 0.299 1
Al1 Al 0.500 0.750 0.000 1
Ni2 Ni 0.297 0.149 0.299 1
Ni3 Ni 0.703 0.851 0.701 1
Al2 Al 0.500 0.250 0.000 1
Zn1 Zn 0.000 0.500 0.000 1
Ni4 Ni 0.297 0.351 0.701 1
Zn2 Zn 0.000 0.000 0.000 1
```

Space group ... Cmme, No. 67
Total DFT energy (no corrections) ... -51.65 eV/cell
N(E_F) ... 6.2 states/eV per cell

=====

3.
First-principles (PBE) data for a relaxed USiGe2 crystal, as listed in Alexandria via LeMat-Bulk.

Cell and atoms, written as CIF:
```
data_USiGe2
_chemical_formula_sum 'U1 Si1 Ge2'
_cell_length_a 2.857
_cell_length_b 2.857
_cell_length_c 10.837
_cell_angle_alpha 82.43
_cell_angle_beta 82.43
_cell_angle_gamma 60.00
_symmetry_space_group_name_H-M 'P 1'
_symmetry_Int_Tables_number 1
loop_
_symmetry_equiv_pos_as_xyz
'x,y,z'
loop_
_atom_site_label
_atom_site_type_symbol
_atom_site_fract_x
_atom_site_fract_y
_atom_site_fract_z
_atom_site_occupancy
Ge1 Ge 0.907 0.907 0.280 1
Si1 Si 0.500 0.500 0.500 1
Ge2 Ge 0.093 0.093 0.720 1
U1 U 0.000 0.000 0.000 1
```

Space group ... R-3m, No. 166
Offset from the most stable computed form ... 830 meV per atom
Energy relative to the elements, uncorrected ... 510 meV/atom
N(E_F) ... 5.3 states/eV per cell

=====

4.
First-principles (PBE) data for a relaxed Cs2LiPrCl6 crystal, as listed in Alexandria via LeMat-Bulk.

Cell and atoms, written as CIF:
```
data_Cs2LiPrCl6
_chemical_formula_sum 'Cs2 Li1 Pr1 Cl6'
_cell_length_a 7.640
_cell_length_b 7.640
_cell_length_c 7.640
_cell_angle_alpha 59.99
_cell_angle_beta 59.99
_cell_angle_gamma 59.99
_symmetry_space_group_name_H-M 'P 1'
_symmetry_Int_Tables_number 1
loop_
_symmetry_equiv_pos_as_xyz
'x,y,z'
loop_
_atom_site_label
_atom_site_type_symbol
_atom_site_fract_x
_atom_site_fract_y
_atom_site_fract_z
_atom_site_occupancy
Cs1 Cs 0.750 0.750 0.750 1
Cl1 Cl 0.255 0.255 0.745 1
Cl2 Cl 0.745 0.255 0.255 1
Li1 Li 0.500 0.500 0.500 1
Cl3 Cl 0.745 0.255 0.745 1
Cl4 Cl 0.255 0.745 0.745 1
Cl5 Cl 0.745 0.745 0.255 1
Cl6 Cl 0.255 0.745 0.255 1
Pr1 Pr 0.000 0.000 0.000 1
Cs2 Cs 0.250 0.250 0.250 1
```

Space group ... Fm-3m, No. 225
Energy relative to the elements, uncorrected ... -2107 meV/atom
N(E_F) ... 0.0 states/eV per cell

=====

5.
First-principles (PBE) data for a relaxed Ac2Sn crystal, as listed in Alexandria via LeMat-Bulk.

Cell and atoms, written as CIF:
```
data_Ac2Sn
_chemical_formula_sum 'Ac8 Sn4'
_cell_length_a 5.327
_cell_length_b 7.519
_cell_length_c 11.228
_cell_angle_alpha 90.00
_cell_angle_beta 90.00
_cell_angle_gamma 90.00
_symmetry_space_group_name_H-M 'P 1'
_symmetry_Int_Tables_number 1
loop_
_symmetry_equiv_pos_as_xyz
'x,y,z'
loop_
_atom_site_label
_atom_site_type_symbol
_atom_site_fract_x
_atom_site_fract_y
_atom_site_fract_z
_atom_site_occupancy
Sn1 Sn 0.250 0.202 0.875 1
Ac1 Ac 0.750 0.932 0.794 1
Ac2 Ac 0.250 0.670 0.945 1
Sn2 Sn 0.250 0.702 0.625 1
Ac3 Ac 0.750 0.432 0.706 1
Ac4 Ac 0.250 0.170 0.555 1
Sn3 Sn 0.750 0.298 0.375 1
Ac5 Ac 0.250 0.568 0.294 1
Ac6 Ac 0.750 0.330 0.055 1
Ac7 Ac 0.250 0.068 0.206 1
Ac8 Ac 0.750 0.830 0.445 1
Sn4 Sn 0.750 0.798 0.125 1
```

Space group ... Pnma, No. 62
Offset from the most stable computed form ... 0 meV per atom
N(E_F) ... 9.6 states/eV per cell

=====

6.
First-principles (PBE) data for a relaxed KLa2Ga crystal, as listed in Alexandria via LeMat-Bulk.

Cell and atoms, written as CIF:
```
data_KLa2Ga
_chemical_formula_sum 'K2 La4 Ga2'
_cell_length_a 9.178
_cell_length_b 9.178
_cell_length_c 7.394
_cell_angle_alpha 51.64
_cell_angle_beta 51.64
_cell_angle_gamma 90.00
_symmetry_space_group_name_H-M 'P 1'
_symmetry_Int_Tables_number 1
loop_
_symmetry_equiv_pos_as_xyz
'x,y,z'
loop_
_atom_site_label
_atom_site_type_symbol
_atom_site_fract_x
_atom_site_fract_y
_atom_site_fract_z
_atom_site_occupancy
La1 La 0.375 0.320 0.750 1
Ga1 Ga 0.750 0.250 0.500 1
La2 La 0.875 0.930 0.750 1
K1 K 0.250 0.750 0.500 1
K2 K 0.500 0.500 0.000 1
Ga2 Ga 0.000 0.000 0.000 1
La3 La 0.680 0.125 0.250 1
La4 La 0.070 0.625 0.250 1
```

Space group ... I-42d, No. 122
Total DFT energy (no corrections) ... -26.51 eV/cell
N(E_F) ... 7.8 states/eV per cell

=====

7.
First-principles (PBE) data for a relaxed BaVH crystal, as listed in Alexandria via LeMat-Bulk.

Cell and atoms, written as CIF:
```
data_BaVH
_chemical_formula_sum 'Ba4 V4 H4'
_cell_length_a 6.423
_cell_length_b 3.226
_cell_length_c 12.329
_cell_angle_alpha 90.00
_cell_angle_beta 90.00
_cell_angle_gamma 90.00
_symmetry_space_group_name_H-M 'P 1'
_symmetry_Int_Tables_number 1
loop_
_symmetry_equiv_pos_as_xyz
'x,y,z'
loop_
_atom_site_label
_atom_site_type_symbol
_atom_site_fract_x
_atom_site_fract_y
_atom_site_fract_z
_atom_site_occupancy
V1 V 0.595 0.750 0.551 1
V2 V 0.405 0.250 0.449 1
Ba1 Ba 0.413 0.250 0.147 1
H1 H 0.557 0.750 0.404 1
H2 H 0.943 0.250 0.904 1
Ba2 Ba 0.087 0.750 0.647 1
V3 V 0.095 0.750 0.949 1
H3 H 0.057 0.750 0.096 1
Ba3 Ba 0.913 0.250 0.353 1
H4 H 0.443 0.250 0.596 1
V4 V 0.905 0.250 0.051 1
Ba4 Ba 0.587 0.750 0.853 1
```

Space group ... Pnma, No. 62
Offset from the most stable computed form ... 253 meV per atom
N(E_F) ... 10.5 states/eV per cell

=====

8.
First-principles (PBE) data for a relaxed Ba3YSb2O9 crystal, as listed in Alexandria via LeMat-Bulk.

Cell and atoms, written as CIF:
```
data_Ba3YSb2O9
_chemical_formula_sum 'Ba3 Y1 Sb2 O9'
_cell_length_a 6.048
_cell_length_b 6.048
_cell_length_c 7.396
_cell_angle_alpha 90.00
_cell_angle_beta 90.00
_cell_angle_gamma 120.00
_symmetry_space_group_name_H-M 'P 1'
_symmetry_Int_Tables_number 1
loop_
_symmetry_equiv_pos_as_xyz
'x,y,z'
loop_
_atom_site_label
_atom_site_type_symbol
_atom_site_fract_x
_atom_site_fract_y
_atom_site_fract_z
_atom_site_occupancy
O1 O 0.826 0.174 0.676 1
Ba1 Ba 0.000 0.000 0.000 1
O2 O 0.500 0.500 0.000 1
Ba2 Ba 0.667 0.333 0.327 1
O3 O 0.174 0.349 0.324 1
O4 O 0.000 0.500 0.000 1
Ba3 Ba 0.333 0.667 0.673 1
O5 O 0.826 0.651 0.676 1
Y1 Y 0.000 0.000 0.500 1
Sb1 Sb 0.333 0.667 0.168 1
O6 O 0.174 0.826 0.324 1
O7 O 0.500 0.000 0.000 1
Sb2 Sb 0.667 0.333 0.832 1
O8 O 0.349 0.174 0.676 1
O9 O 0.651 0.826 0.324 1
```

Space group ... P-3m1, No. 164
Energy relative to the elements, uncorrected ... -2416 meV/atom
N(E_F) ... 2.9 states/eV per cell